Arrangement i

Entry from Alexandria via LeMat-Bulk: a relaxed Hf2ThH crystal (GGA-PBE).

Lattice parameters (Å, degrees): 8.903 8.903 8.903 20.91 20.91 20.91
Fractional coordinates of all 4 atoms:
1 Hf 0.118 0.118 0.118
2 Hf 0.882 0.882 0.882
3 Th 0.000 0.000 0.000
4 H 0.500 0.500 0.500

Summary:
Magnetic moment, μB per formula unit: 0.00
N(E_F), states/eV per atom: 1.205
ρ, g/cm3: 12.45
SG: R-3m
Crystal system: trigonal



Arrangement ii

Entry from Alexandria via LeMat-Bulk: a relaxed Hf2ThH crystal (GGA-PBE).

Lattice parameters (Å, degrees): 3.122 3.122 8.091 90.00 90.00 90.00
Fractional coordinates of all 4 atoms:
1 Hf 0.000 0.000 0.179
2 Hf 0.000 0.000 0.821
3 Th 0.500 0.500 0.500
4 H 0.500 0.500 0.000

Summary:
Magnetic moment, μB per formula unit: 0.00
N(E_F), states/eV per atom: 0.997
ρ, g/cm3: 12.43
SG: P4/mmm
Crystal system: tetragonal



Which structure is the most stable? The one labeled arrangement i.



Arrangement i

Entry from Alexandria via LeMat-Bulk: a relaxed HfTi2H4 crystal (GGA-PBE).

Lattice parameters (Å, degrees): 5.652 5.652 5.652 120.88 120.88 88.48
Fractional coordinates of all 14 atoms:
1 Hf 0.375 0.125 0.250
2 Hf 0.625 0.875 0.750
3 Ti 0.000 0.000 0.500
4 Ti 0.000 0.500 0.000
5 Ti 0.000 0.500 0.500
6 Ti 0.500 0.500 0.000
7 H 0.005 0.769 0.895
8 H 0.269 0.874 0.764
9 H 0.374 0.110 0.605
10 H 0.390 0.495 0.264
11 H 0.610 0.505 0.736
12 H 0.626 0.890 0.395
13 H 0.731 0.126 0.236
14 H 0.995 0.231 0.105

Summary:
Magnetic moment, μB per formula unit: 0.00
N(E_F), states/eV per atom: 0.382
ρ, g/cm3: 7.34
SG: I4_1/a
Crystal system: tetragonal



Arrangement ii

Entry from Alexandria via LeMat-Bulk: a relaxed HfTi2H4 crystal (GGA-PBE).

Lattice parameters (Å, degrees): 5.701 5.701 5.701 60.00 60.00 60.00
Fractional coordinates of all 14 atoms:
1 Hf 0.125 0.125 0.125
2 Hf 0.875 0.875 0.875
3 Ti 0.000 0.500 0.500
4 Ti 0.500 0.000 0.500
5 Ti 0.500 0.500 0.000
6 Ti 0.500 0.500 0.500
7 H 0.268 0.268 0.268
8 H 0.268 0.268 0.696
9 H 0.268 0.696 0.268
10 H 0.304 0.732 0.732
11 H 0.696 0.268 0.268
12 H 0.732 0.304 0.732
13 H 0.732 0.732 0.304
14 H 0.732 0.732 0.732

Summary:
Magnetic moment, μB per formula unit: 0.00
N(E_F), states/eV per atom: 0.370
ρ, g/cm3: 7.05
SG: Fd-3m
Crystal system: cubic



Which structure is the most stable? The one labeled arrangement ii.



Arrangement i

Entry from Alexandria via LeMat-Bulk: a relaxed Hf2Ti2H7 crystal (GGA-PBE).

Lattice parameters (Å, degrees): 4.802 4.802 4.031 90.00 90.00 93.81
Fractional coordinates of all 11 atoms:
1 Hf 0.239 0.239 0.000
2 Hf 0.761 0.761 0.000
3 Ti 0.258 0.742 0.500
4 Ti 0.742 0.258 0.500
5 H 0.000 0.000 0.500
6 H 0.000 0.500 0.254
7 H 0.000 0.500 0.746
8 H 0.500 0.000 0.254
9 H 0.500 0.000 0.746
10 H 0.500 0.500 0.263
11 H 0.500 0.500 0.737

Summary:
Magnetic moment, μB per formula unit: 0.00
N(E_F), states/eV per atom: 0.265
ρ, g/cm3: 8.23
SG: Cmmm
Crystal system: orthorhombic



Arrangement ii

Entry from Alexandria via LeMat-Bulk: a relaxed Hf2Ti2H7 crystal (GGA-PBE).

Lattice parameters (Å, degrees): 4.845 4.845 4.039 90.00 90.00 93.55
Fractional coordinates of all 11 atoms:
1 Hf 0.240 0.760 0.000
2 Hf 0.760 0.240 0.000
3 Ti 0.258 0.258 0.500
4 Ti 0.742 0.742 0.500
5 H 0.000 0.000 0.266
6 H 0.000 0.000 0.734
7 H 0.000 0.500 0.272
8 H 0.000 0.500 0.728
9 H 0.500 0.000 0.272
10 H 0.500 0.000 0.728
11 H 0.500 0.500 0.000

Summary:
Magnetic moment, μB per formula unit: 0.00
N(E_F), states/eV per atom: 0.284
ρ, g/cm3: 8.07
SG: Cmmm
Crystal system: orthorhombic



Which structure is the most stable? The one labeled arrangement i.



Arrangement i

Entry from Alexandria via LeMat-Bulk: a relaxed HfTi2H8 crystal (GGA-PBE).

Lattice parameters (Å, degrees): 5.080 5.080 3.249 95.72 95.72 112.60
Fractional coordinates of all 11 atoms:
1 Hf 0.000 0.000 0.000
2 Ti 0.330 0.670 0.500
3 Ti 0.670 0.330 0.500
4 H 0.041 0.301 0.559
5 H 0.235 0.765 0.000
6 H 0.301 0.041 0.559
7 H 0.368 0.368 0.170
8 H 0.632 0.632 0.830
9 H 0.699 0.959 0.441
10 H 0.765 0.235 0.000
11 H 0.959 0.699 0.441

Summary:
Magnetic moment, μB per formula unit: 0.00
N(E_F), states/eV per atom: 0.468
ρ, g/cm3: 6.15
SG: C2/m
Crystal system: monoclinic



Arrangement ii

Entry from Alexandria via LeMat-Bulk: a relaxed HfTi2H8 crystal (GGA-PBE).

Lattice parameters (Å, degrees): 5.516 5.516 3.234 105.13 105.13 48.54
Fractional coordinates of all 11 atoms:
1 Hf 0.000 0.000 0.000
2 Ti 0.328 0.328 0.346
3 Ti 0.672 0.672 0.654
4 H 0.106 0.566 0.859
5 H 0.161 0.161 0.616
6 H 0.282 0.718 0.500
7 H 0.434 0.894 0.141
8 H 0.566 0.106 0.859
9 H 0.718 0.282 0.500
10 H 0.839 0.839 0.384
11 H 0.894 0.434 0.141

Summary:
Magnetic moment, μB per formula unit: 0.00
N(E_F), states/eV per atom: 0.312
ρ, g/cm3: 6.64
SG: C2/m
Crystal system: monoclinic



Which structure is the most stable? The one labeled arrangement ii.



Arrangement i

Entry from Alexandria via LeMat-Bulk: a relaxed HfTiH3 crystal (GGA-PBE).

Lattice parameters (Å, degrees): 3.535 3.535 3.535 90.00 90.00 90.00
Fractional coordinates of all 5 atoms:
1 Hf 0.000 0.000 0.000
2 Ti 0.500 0.500 0.500
3 H 0.000 0.500 0.500
4 H 0.500 0.000 0.500
5 H 0.500 0.500 0.000

Summary:
Magnetic moment, μB per formula unit: 0.00
N(E_F), states/eV per atom: 0.339
ρ, g/cm3: 8.63
SG: Pm-3m
Crystal system: cubic



Arrangement ii

Entry from Alexandria via LeMat-Bulk: a relaxed HfTiH3 crystal (GGA-PBE).

Lattice parameters (Å, degrees): 6.084 5.007 6.211 90.00 109.85 90.00
Fractional coordinates of all 20 atoms:
1 Hf 0.131 0.245 0.130
2 Hf 0.131 0.255 0.630
3 Hf 0.869 0.745 0.370
4 Hf 0.869 0.755 0.870
5 Ti 0.379 0.747 0.377
6 Ti 0.379 0.753 0.877
7 Ti 0.621 0.247 0.123
8 Ti 0.621 0.253 0.623
9 H 0.076 0.633 0.186
10 H 0.076 0.867 0.686
11 H 0.322 0.106 0.448
12 H 0.322 0.394 0.948
13 H 0.394 0.523 0.633
14 H 0.394 0.977 0.133
15 H 0.606 0.023 0.867
16 H 0.606 0.477 0.367
17 H 0.678 0.606 0.052
18 H 0.678 0.894 0.552
19 H 0.924 0.133 0.314
20 H 0.924 0.367 0.814

Summary:
Magnetic moment, μB per formula unit: 0.00
N(E_F), states/eV per atom: 0.403
ρ, g/cm3: 8.56
SG: P2_1/c
Crystal system: monoclinic



Which structure is the most stable? The one labeled arrangement ii.



Arrangement i

Entry from Alexandria via LeMat-Bulk: a relaxed Hf2TiH8 crystal (GGA-PBE).

Lattice parameters (Å, degrees): 6.044 6.044 4.696 112.61 112.61 30.53
Fractional coordinates of all 11 atoms:
1 Hf 0.164 0.164 0.149
2 Hf 0.836 0.836 0.851
3 Ti 0.500 0.500 0.500
4 H 0.010 0.010 0.274
5 H 0.222 0.222 0.812
6 H 0.335 0.335 0.557
7 H 0.417 0.417 0.073
8 H 0.583 0.583 0.927
9 H 0.665 0.665 0.443
10 H 0.778 0.778 0.188
11 H 0.990 0.990 0.726

Summary:
Magnetic moment, μB per formula unit: 0.13
N(E_F), states/eV per atom: 0.312
ρ, g/cm3: 8.58
SG: C2/m
Crystal system: monoclinic



Arrangement ii

Entry from Alexandria via LeMat-Bulk: a relaxed Hf2TiH8 crystal (GGA-PBE).

Lattice parameters (Å, degrees): 6.614 6.614 6.614 152.73 142.11 47.31
Fractional coordinates of all 11 atoms:
1 Hf 0.150 0.150 0.000
2 Hf 0.850 0.850 0.000
3 Ti 0.500 0.500 0.000
4 H 0.145 0.371 0.774
5 H 0.245 0.000 0.245
6 H 0.263 0.763 0.500
7 H 0.403 0.629 0.774
8 H 0.597 0.371 0.226
9 H 0.737 0.237 0.500
10 H 0.755 0.000 0.755
11 H 0.855 0.629 0.226

Summary:
Magnetic moment, μB per formula unit: 0.00
N(E_F), states/eV per atom: 0.138
ρ, g/cm3: 8.45
SG: Immm
Crystal system: orthorhombic



Which structure is the most stable? The one labeled arrangement ii.



Arrangement i

Entry from Alexandria via LeMat-Bulk: a relaxed HfTi2VH crystal (GGA-PBE).

Lattice parameters (Å, degrees): 4.030 4.030 4.417 90.00 90.00 90.00
Fractional coordinates of all 5 atoms:
1 Hf 0.000 0.000 0.000
2 Ti 0.000 0.500 0.500
3 Ti 0.500 0.000 0.500
4 V 0.500 0.500 0.000
5 H 0.500 0.500 0.500

Summary:
Magnetic moment, μB per formula unit: 0.42
N(E_F), states/eV per atom: 1.371
ρ, g/cm3: 7.55
SG: P4/mmm
Crystal system: tetragonal



Arrangement ii

Entry from Alexandria via LeMat-Bulk: a relaxed HfTi2VH crystal (GGA-PBE).

Lattice parameters (Å, degrees): 3.966 3.966 4.607 90.00 90.00 90.00
Fractional coordinates of all 5 atoms:
1 Hf 0.000 0.000 0.000
2 Ti 0.000 0.500 0.500
3 Ti 0.500 0.000 0.500
4 V 0.500 0.500 0.000
5 H 0.000 0.000 0.500

Summary:
Magnetic moment, μB per formula unit: 0.80
N(E_F), states/eV per atom: 1.338
ρ, g/cm3: 7.48
SG: P4/mmm
Crystal system: tetragonal



Which structure is the most stable? The one labeled arrangement ii.



Arrangement i

Entry from Alexandria via LeMat-Bulk: a relaxed Hf2TiZnH crystal (GGA-PBE).

Lattice parameters (Å, degrees): 4.290 4.290 4.185 90.00 90.00 90.00
Fractional coordinates of all 5 atoms:
1 Hf 0.000 0.500 0.000
2 Hf 0.500 0.000 0.000
3 Ti 0.000 0.000 0.500
4 Zn 0.500 0.500 0.500
5 H 0.500 0.500 0.000

Summary:
Magnetic moment, μB per formula unit: 0.00
N(E_F), states/eV per atom: 0.618
ρ, g/cm3: 10.16
SG: P4/mmm
Crystal system: tetragonal



Arrangement ii

Entry from Alexandria via LeMat-Bulk: a relaxed Hf2TiZnH crystal (GGA-PBE).

Lattice parameters (Å, degrees): 4.308 4.308 4.127 90.00 90.00 90.00
Fractional coordinates of all 5 atoms:
1 Hf 0.000 0.500 0.000
2 Hf 0.500 0.000 0.000
3 Ti 0.000 0.000 0.500
4 Zn 0.500 0.500 0.500
5 H 0.000 0.000 0.000

Summary:
Magnetic moment, μB per formula unit: 0.00
N(E_F), states/eV per atom: 0.373
ρ, g/cm3: 10.22
SG: P4/mmm
Crystal system: tetragonal



Which structure is the most stable? The one labeled arrangement ii.



Arrangement i

Entry from Alexandria via LeMat-Bulk: a relaxed HfZr2TiH crystal (GGA-PBE).

Lattice parameters (Å, degrees): 4.479 4.479 4.345 90.00 90.00 90.00
Fractional coordinates of all 5 atoms:
1 Hf 0.000 0.000 0.000
2 Zr 0.000 0.500 0.500
3 Zr 0.500 0.000 0.500
4 Ti 0.500 0.500 0.000
5 H 0.500 0.500 0.500

Summary:
Magnetic moment, μB per formula unit: 0.00
N(E_F), states/eV per atom: 1.335
ρ, g/cm3: 7.81
SG: P4/mmm
Crystal system: tetragonal



Arrangement ii

Entry from Alexandria via LeMat-Bulk: a relaxed HfZr2TiH crystal (GGA-PBE).

Lattice parameters (Å, degrees): 4.446 4.446 4.447 90.00 90.00 90.00
Fractional coordinates of all 5 atoms:
1 Hf 0.000 0.000 0.000
2 Zr 0.000 0.500 0.500
3 Zr 0.500 0.000 0.500
4 Ti 0.500 0.500 0.000
5 H 0.000 0.000 0.500

Summary:
Magnetic moment, μB per formula unit: 0.00
N(E_F), states/eV per atom: 1.275
ρ, g/cm3: 7.74
SG: P4/mmm
Crystal system: tetragonal



Which structure is the most stable? The one labeled arrangement i.



Arrangement i

Entry from Alexandria via LeMat-Bulk: a relaxed Hf2ZrTiH crystal (GGA-PBE).

Lattice parameters (Å, degrees): 4.455 4.455 4.388 90.00 90.00 90.00
Fractional coordinates of all 5 atoms:
1 Hf 0.000 0.500 0.000
2 Hf 0.500 0.000 0.000
3 Zr 0.000 0.000 0.500
4 Ti 0.500 0.500 0.500
5 H 0.000 0.000 0.000

Summary:
Magnetic moment, μB per formula unit: 0.00
N(E_F), states/eV per atom: 1.381
ρ, g/cm3: 9.48
SG: P4/mmm
Crystal system: tetragonal



Arrangement ii

Entry from Alexandria via LeMat-Bulk: a relaxed Hf2ZrTiH crystal (GGA-PBE).

Lattice parameters (Å, degrees): 4.475 4.475 4.312 90.00 90.00 90.00
Fractional coordinates of all 5 atoms:
1 Hf 0.000 0.500 0.000
2 Hf 0.500 0.000 0.000
3 Zr 0.000 0.000 0.500
4 Ti 0.500 0.500 0.500
5 H 0.500 0.500 0.000

Summary:
Magnetic moment, μB per formula unit: 0.00
N(E_F), states/eV per atom: 1.792
ρ, g/cm3: 9.56
SG: P4/mmm
Crystal system: tetragonal



Which structure is the most stable? The one labeled arrangement ii.



Arrangement i

Entry from Alexandria via LeMat-Bulk: a relaxed Hf3TlH crystal (GGA-PBE).

Lattice parameters (Å, degrees): 5.348 5.348 5.348 90.00 90.00 90.00
Fractional coordinates of all 5 atoms:
1 Hf 0.000 0.000 0.500
2 Hf 0.000 0.500 0.000
3 Hf 0.500 0.000 0.000
4 Tl 0.000 0.000 0.000
5 H 0.500 0.500 0.500

Summary:
Magnetic moment, μB per formula unit: 0.00
N(E_F), states/eV per atom: 2.460
ρ, g/cm3: 8.04
SG: Pm-3m
Crystal system: cubic



Arrangement ii

Entry from Alexandria via LeMat-Bulk: a relaxed Hf3TlH crystal (GGA-PBE).

Lattice parameters (Å, degrees): 4.450 4.450 4.450 90.00 90.00 90.00
Fractional coordinates of all 5 atoms:
1 Hf 0.000 0.000 0.500
2 Hf 0.000 0.500 0.000
3 Hf 0.500 0.000 0.000
4 Tl 0.500 0.500 0.500
5 H 0.000 0.000 0.000

Summary:
Magnetic moment, μB per formula unit: 0.00
N(E_F), states/eV per atom: 0.643
ρ, g/cm3: 13.96
SG: Pm-3m
Crystal system: cubic



Which structure is the most stable? The one labeled arrangement ii.



Arrangement i

Entry from Alexandria via LeMat-Bulk: a relaxed Hf2ZrTlH crystal (GGA-PBE).

Lattice parameters (Å, degrees): 4.462 4.462 4.473 90.00 90.00 90.00
Fractional coordinates of all 5 atoms:
1 Hf 0.000 0.500 0.000
2 Hf 0.500 0.000 0.000
3 Zr 0.000 0.000 0.500
4 Tl 0.500 0.500 0.500
5 H 0.000 0.000 0.000

Summary:
Magnetic moment, μB per formula unit: 0.00
N(E_F), states/eV per atom: 0.734
ρ, g/cm3: 12.18
SG: P4/mmm
Crystal system: tetragonal



Arrangement ii

Entry from Alexandria via LeMat-Bulk: a relaxed Hf2ZrTlH crystal (GGA-PBE).

Lattice parameters (Å, degrees): 4.281 4.281 5.003 90.00 90.00 90.00
Fractional coordinates of all 5 atoms:
1 Hf 0.000 0.500 0.000
2 Hf 0.500 0.000 0.000
3 Zr 0.000 0.000 0.500
4 Tl 0.500 0.500 0.500
5 H 0.500 0.500 0.000

Summary:
Magnetic moment, μB per formula unit: 0.00
N(E_F), states/eV per atom: 1.092
ρ, g/cm3: 11.84
SG: P4/mmm
Crystal system: tetragonal



Which structure is the most stable? The one labeled arrangement i.